Ca2PmAgS4: optimized geometry, GGA-PBE.

Cell and atoms, written as POSCAR:
```
Ca2PmAgS4
1.0
6.902 0.000 0.000
0.000 4.062 0.000
-2.358 0.000 6.591
Ca Pm Ag S
2 1 1 4
Direct
0.000 0.000 0.000
0.500 0.500 0.000
0.000 0.500 0.500
0.500 0.000 0.500
0.244 0.000 0.752
0.247 0.500 0.250
0.753 0.500 0.750
0.756 0.000 0.248
```

Output
Uncorrected formation energy, eV per atom: -1.679